No. 1
{"formula": "TaCr2Se6", "functional": "GGA-PBE", "state": "optimized geometry", "n_ef_per_ev_atom": 0.448, "relative_energy_mev_per_atom": 254, "raw_formation_energy_kcal_per_mol_atoms": -7.96, "lattice": [[-2.148, 3.836, 1.979], [-6.517, 0.284, -1.750], [-4.342, -2.284, 5.587]], "species": ["Ta", "Cr", "Cr", "Se", "Se", "Se", "Se", "Se", "Se"], "frac_coords": [[0.000, 0.500, 0.500], [0.175, 0.729, 0.922], [0.825, 0.271, 0.078], [0.746, 0.655, 0.852], [0.254, 0.345, 0.148], [0.960, 0.856, 0.224], [0.368, 0.677, 0.588], [0.040, 0.144, 0.776], [0.632, 0.323, 0.412]]}

---

No. 2
{"formula": "TlCuPt2", "functional": "GGA-PBE", "state": "optimized geometry", "n_ef_per_ev_atom": 0.388, "e_form_ev_per_atom": 0.020, "lattice": [[-5.330, -1.577, -3.384], [0.441, -0.985, 4.697], [-2.499, 1.556, 0.563]], "species": ["Cu", "Pt", "Pt", "Tl"], "frac_coords": [[0.500, 0.500, 0.000], [0.000, 0.000, 0.000], [0.500, 0.000, 0.500], [0.000, 0.500, 0.500]]}

---

No. 3
{"formula": "SmEuCdPb", "functional": "GGA-PBE", "state": "optimized geometry", "n_ef_per_ev_atom": 0.662, "e_form_ev_per_atom": -0.435, "lattice": [[-4.940, -1.534, -1.912], [-0.401, -2.548, -4.874], [-1.335, -5.346, -0.215]], "species": ["Pb", "Eu", "Sm", "Cd"], "frac_coords": [[0.250, 0.250, 0.250], [0.500, 0.500, 0.500], [0.000, 0.000, 0.000], [0.750, 0.750, 0.750]]}

---

No. 4
{"formula": "Tb2AlGa2Rh5", "functional": "GGA-PBE", "state": "optimized geometry", "n_ef_per_ev_atom": 0.551, "e_form_ev_per_atom": -0.830, "lattice": [[-0.780, -3.273, 0.828], [7.609, -3.181, -5.408], [5.868, 0.601, 7.903]], "species": ["Tb", "Tb", "Tb", "Tb", "Al", "Al", "Ga", "Ga", "Ga", "Ga", "Rh", "Rh", "Rh", "Rh", "Rh", "Rh", "Rh", "Rh", "Rh", "Rh"], "frac_coords": [[0.000, 0.673, 0.173], [0.000, 0.327, 0.827], [0.000, 0.173, 0.327], [0.000, 0.827, 0.673], [0.000, 0.000, 0.000], [0.000, 0.500, 0.500], [0.000, 0.127, 0.627], [0.000, 0.873, 0.373], [0.000, 0.627, 0.873], [0.000, 0.373, 0.127], [0.500, 0.200, 0.065], [0.500, 0.800, 0.935], [0.500, 0.065, 0.800], [0.500, 0.700, 0.435], [0.500, 0.935, 0.200], [0.500, 0.300, 0.565], [0.500, 0.565, 0.700], [0.500, 0.435, 0.300], [0.500, 0.500, 0.000], [0.500, 0.000, 0.500]]}

---

No. 5
{"formula": "Pm9Pr2Sm", "functional": "GGA-PBE", "state": "optimized geometry", "n_ef_per_ev_atom": 1.278, "e_form_ev_per_atom": 0.045, "relative_energy_mev_per_atom": 30, "lattice": [[-1.983, 0.263, -2.956], [-6.357, -9.026, 3.462], [-3.074, 10.739, 3.019]], "species": ["Pm", "Pm", "Pm", "Pm", "Pm", "Pm", "Pm", "Pm", "Pm", "Pr", "Pr", "Sm"], "frac_coords": [[0.000, 0.000, 0.500], [0.000, 0.500, 0.500], [0.000, 0.500, 0.000], [0.500, 0.345, 0.172], [0.500, 0.172, 0.828], [0.500, 0.172, 0.345], [0.500, 0.828, 0.655], [0.500, 0.828, 0.172], [0.500, 0.655, 0.828], [0.000, 0.333, 0.667], [0.000, 0.667, 0.333], [0.000, 0.000, 0.000]]}

---

No. 6
{"formula": "ScCd15Ag4", "functional": "GGA-PBE", "state": "optimized geometry", "n_ef_per_ev_atom": 0.219, "e_form_ev_per_atom": -0.059, "lattice": [[4.385, 0.000, 0.000], [0.000, 4.385, 0.000], [0.000, 0.000, 21.781]], "species": ["Sc", "Cd", "Cd", "Cd", "Cd", "Cd", "Cd", "Cd", "Cd", "Cd", "Cd", "Cd", "Cd", "Cd", "Cd", "Cd", "Ag", "Ag", "Ag", "Ag"], "frac_coords": [[0.000, 0.000, 0.000], [0.500, 0.500, 0.000], [0.500, 0.500, 0.204], [0.500, 0.500, 0.400], [0.500, 0.500, 0.600], [0.500, 0.500, 0.796], [0.500, 0.000, 0.103], [0.500, 0.000, 0.301], [0.500, 0.000, 0.500], [0.500, 0.000, 0.699], [0.500, 0.000, 0.897], [0.000, 0.500, 0.103], [0.000, 0.500, 0.301], [0.000, 0.500, 0.500], [0.000, 0.500, 0.699], [0.000, 0.500, 0.897], [0.000, 0.000, 0.200], [0.000, 0.000, 0.403], [0.000, 0.000, 0.597], [0.000, 0.000, 0.800]]}

---

No. 7
{"formula": "PmEuCuAg", "functional": "GGA-PBE", "state": "optimized geometry", "n_ef_per_ev_atom": 2.072, "e_form_ev_per_atom": -0.172, "lattice": [[5.214, 0.000, 0.000], [2.607, 4.515, 0.000], [2.607, 1.505, 4.257]], "species": ["Eu", "Cu", "Ag", "Pm"], "frac_coords": [[0.750, 0.750, 0.750], [0.500, 0.500, 0.500], [0.000, 0.000, 0.000], [0.250, 0.250, 0.250]]}

---

No. 8
{"formula": "HgPd2Br8", "functional": "GGA-PBE", "state": "optimized geometry", "n_ef_per_ev_atom": 0.276, "raw_formation_energy_kcal_per_mol_atoms": -4.96, "lattice": [[-8.117, 3.532, -5.495], [6.900, -0.479, -0.622], [-4.615, -9.715, 0.572]], "species": ["Hg", "Pd", "Pd", "Br", "Br", "Br", "Br", "Br", "Br", "Br", "Br"], "frac_coords": [[0.000, 0.000, 0.000], [0.985, 0.970, 0.663], [0.015, 0.030, 0.337], [0.692, 0.714, 0.121], [0.022, 0.714, 0.121], [0.308, 0.286, 0.879], [0.263, 0.527, 0.310], [0.978, 0.286, 0.879], [0.778, 0.555, 0.381], [0.222, 0.445, 0.619], [0.737, 0.473, 0.690]]}

---

M_tot per entry: 5.1; 0.0; 7.8; 0.0; 0.0; 0.0; 7.0; 0.0 μB per formula unit
E_tot per entry: -6.124; -4.616; -5.340; -6.411; -4.708; -1.632; -5.665; -2.403 eV/atom